# Bi2TeRuRh

Crystalline Bi2TeRuRh at its relaxed geometry (PBE, the Alexandria database).

Output
ΔE_f (raw) (meV/atom): 829.6

Cell lengths 5.2186, 5.2186, 5.0287 Å; angles 90.00, 90.00, 90.00 degrees
Space group P4/mmm (No. 123)
Symmetry-distinct sites (fractional):
Bi1 0.0000 0.5000 0.0000 (multiplicity 2)
Te1 0.0000 0.0000 0.5000 (multiplicity 1)
Ru1 0.0000 0.0000 0.0000 (multiplicity 1)
Rh1 0.5000 0.5000 0.5000 (multiplicity 1)

# BeAlTcPt

Crystalline BeAlTcPt at its relaxed geometry (PBE, the Alexandria database).

Output
Calculated formation energy (eV per atom): -0.50

Cell lengths 5.9093, 5.9093, 5.9093 Å; angles 90.00, 90.00, 90.00 degrees
Space group F-43m (No. 216)
Symmetry-distinct sites (fractional):
Be1 0.0000 0.0000 0.0000 (multiplicity 4)
Al1 0.0000 0.0000 0.5000 (multiplicity 4)
Tc1 0.2500 0.2500 0.7500 (multiplicity 4)
Pt1 0.2500 0.2500 0.2500 (multiplicity 4)

# LaMn2Sn

Crystalline LaMn2Sn at its relaxed geometry (PBE, the Alexandria database).

Output
Calculated formation energy (eV per atom): 0.34

Cell lengths 4.7828, 4.7828, 18.7041 Å; angles 90.00, 90.00, 90.00 degrees
Space group I-42d (No. 122)
Symmetry-distinct sites (fractional):
La1 0.0000 0.0000 0.0000 (multiplicity 4)
Mn1 0.0135 0.2500 0.6250 (multiplicity 8)
Sn1 0.0000 0.0000 0.5000 (multiplicity 4)